# CeGa2CuRh2

An optimized crystal structure of CeGa2CuRh2 (PBE, Alexandria via LeMat-Bulk).

Output
ΔH_f (0 K)	-0.190	eV/atom
volume	110.69	Å³ per cell

Lattice parameters (Å, degrees): 4.464 4.464 5.555 90.00 90.00 90.00
Fractional positions:
Ce (0.000, 0.000, 0.000)
Ga (0.000, 0.500, 0.500)
Ga (0.500, 0.000, 0.500)
Cu (0.000, 0.000, 0.500)
Rh (0.500, 0.500, 0.241)
Rh (0.500, 0.500, 0.759)


# CeGa4Cu2Rh

An optimized crystal structure of CeGa4Cu2Rh (PBE, Alexandria via LeMat-Bulk).

Output
ΔH_f (0 K)	-0.373	eV/atom
volume	136.38	Å³ per cell

Lattice parameters (Å, degrees): 9.236 9.236 9.236 26.31 26.31 26.31
Fractional positions:
Ce (0.000, 0.000, 0.000)
Ga (0.129, 0.129, 0.129)
Ga (0.402, 0.402, 0.402)
Ga (0.598, 0.598, 0.598)
Ga (0.871, 0.871, 0.871)
Cu (0.238, 0.238, 0.238)
Cu (0.762, 0.762, 0.762)
Rh (0.500, 0.500, 0.500)


# Ce2GaCuS5

An optimized crystal structure of Ce2GaCuS5 (PBE, Alexandria via LeMat-Bulk).

Output
volume	378.73	Å³ per cell
formation energy (no corrections)	-30.2	kcal/mol of atoms

Lattice parameters (Å, degrees): 8.779 8.779 11.415 90.00 90.00 154.50
Fractional positions:
Ce (0.115, 0.885, 0.500)
Ce (0.133, 0.867, 0.121)
Ce (0.867, 0.133, 0.621)
Ce (0.885, 0.115, 0.000)
Ga (0.427, 0.573, 0.273)
Ga (0.573, 0.427, 0.773)
Cu (0.245, 0.755, 0.899)
Cu (0.755, 0.245, 0.399)
S (0.044, 0.956, 0.880)
S (0.293, 0.707, 0.479)
S (0.316, 0.684, 0.162)
S (0.362, 0.638, 0.814)
S (0.498, 0.502, 0.601)
S (0.502, 0.498, 0.101)
S (0.638, 0.362, 0.314)
S (0.684, 0.316, 0.662)
S (0.707, 0.293, 0.979)
S (0.956, 0.044, 0.380)